1.
Computed, not measured: ZnRhCl2 after structural relaxation at the PBE level of DFT.

Lattice parameters (Å, degrees): 3.264 5.900 8.885 90.00 90.00 90.00
Space group Cmmm (No. 65)
Symmetry-distinct sites (fractional):
Zn: 0.000 0.000 0.000
Rh: 0.000 0.000 0.500
Cl: 0.000 0.500 0.308

## Properties
Formation energy (no corrections) = 0.016 eV per atom
Size of the total moment = 0.00 μB/atom
Crystal system = orthorhombic

2.
Computed, not measured: ZnRhCl2 after structural relaxation at the PBE level of DFT.

Lattice parameters (Å, degrees): 3.140 3.771 14.191 90.00 90.00 90.00
Space group Imm2 (No. 44)
Symmetry-distinct sites (fractional):
Zn: 0.000 0.000 0.000
Rh: 0.000 0.500 0.356
Cl: 0.000 0.000 0.581
Cl: 0.000 0.500 0.828

## Properties
Formation energy (no corrections) = -0.170 eV per atom
Size of the total moment = 0.00 μB/atom
Crystal system = orthorhombic

3.
Computed, not measured: Zn2RhCl8 after structural relaxation at the PBE level of DFT.

Lattice parameters (Å, degrees): 9.991 10.845 6.046 90.00 91.47 90.00
Space group C2/m (No. 12)
Symmetry-distinct sites (fractional):
Zn: 0.212 0.000 0.082
Rh: 0.000 0.000 0.500
Cl: 0.071 0.500 0.808
Cl: 0.091 0.151 0.265
Cl: 0.207 0.000 0.703

## Properties
Formation energy (no corrections) = -0.757 eV per atom
Size of the total moment = 0.10 μB/atom
Crystal system = monoclinic

4.
Computed, not measured: ZnRhCl2 after structural relaxation at the PBE level of DFT.

Lattice parameters (Å, degrees): 4.586 4.586 6.535 90.00 90.00 90.00
Space group I4/mmm (No. 139)
Symmetry-distinct sites (fractional):
Zn: 0.000 0.000 0.000
Rh: 0.000 0.000 0.500
Cl: 0.000 0.500 0.250

## Properties
Formation energy (no corrections) = 0.229 eV per atom
Size of the total moment = 0.29 μB/atom
Crystal system = tetragonal

5.
Computed, not measured: Zn2RhCl after structural relaxation at the PBE level of DFT.

Lattice parameters (Å, degrees): 3.087 3.087 6.906 90.00 90.00 90.00
Space group P4/mmm (No. 123)
Symmetry-distinct sites (fractional):
Zn: 0.000 0.000 0.209
Rh: 0.500 0.500 0.000
Cl: 0.500 0.500 0.500

## Properties
Formation energy (no corrections) = -0.295 eV per atom
Size of the total moment = 0.00 μB/atom
Crystal system = tetragonal

6.
Computed, not measured: ZnRh2Cl after structural relaxation at the PBE level of DFT.

Lattice parameters (Å, degrees): 10.213 2.885 4.190 90.00 92.51 90.00
Space group Cm (No. 8)
Symmetry-distinct sites (fractional):
Zn: 0.000 0.000 0.000
Rh: 0.063 0.500 0.517
Rh: 0.298 0.000 0.668
Cl: 0.264 0.500 0.186

## Properties
Formation energy (no corrections) = 0.192 eV per atom
Size of the total moment = 0.00 μB/atom
Crystal system = monoclinic

7.
Computed, not measured: ZnRh2Cl after structural relaxation at the PBE level of DFT.

Lattice parameters (Å, degrees): 6.123 6.437 2.975 90.00 90.00 90.00
Space group Cmmm (No. 65)
Symmetry-distinct sites (fractional):
Zn: 0.000 0.000 0.000
Rh: 0.250 0.250 0.500
Cl: 0.000 0.500 0.000

## Properties
Formation energy (no corrections) = 0.263 eV per atom
Size of the total moment = 0.00 μB/atom
Crystal system = orthorhombic

8.
Computed, not measured: ZnRhCl2 after structural relaxation at the PBE level of DFT.

Lattice parameters (Å, degrees): 3.4161 3.4161 24.4469 90.00 90.00 120.00
Space group R3m (No. 160, hexagonal axes)
Symmetry-distinct sites (fractional):
Zn: 0.0000 0.0000 0.0000
Rh: 0.0000 0.0000 0.2568
Cl: 0.0000 0.0000 0.5344
Cl: 0.0000 0.0000 0.7272

## Properties
Formation energy (no corrections) = -0.360 eV per atom
Size of the total moment = 0.25 μB/atom
Crystal system = trigonal

9.
Computed, not measured: ZnRh2Cl after structural relaxation at the PBE level of DFT.

Lattice parameters (Å, degrees): 3.021 3.021 6.545 90.00 90.00 90.00
Space group P4/mmm (No. 123)
Symmetry-distinct sites (fractional):
Zn: 0.000 0.000 0.000
Rh: 0.500 0.500 0.229
Cl: 0.000 0.000 0.500

## Properties
Formation energy (no corrections) = 0.145 eV per atom
Size of the total moment = 0.00 μB/atom
Crystal system = tetragonal

10.
Computed, not measured: ZnRh2Cl after structural relaxation at the PBE level of DFT.

Lattice parameters (Å, degrees): 6.321 6.321 6.321 90.00 90.00 90.00
Space group F-43m (No. 216)
Symmetry-distinct sites (fractional):
Zn: 0.000 0.000 0.000
Rh: 0.000 0.000 0.500
Rh: 0.250 0.250 0.250
Cl: 0.250 0.250 0.750

## Properties
Formation energy (no corrections) = 0.442 eV per atom
Size of the total moment = 0.54 μB/atom
Crystal system = cubic

11.
Computed, not measured: ZnRh2Cl after structural relaxation at the PBE level of DFT.

Lattice parameters (Å, degrees): 2.905 4.361 9.490 90.00 90.00 90.00
Space group Imm2 (No. 44)
Symmetry-distinct sites (fractional):
Zn: 0.000 0.000 0.000
Rh: 0.000 0.000 0.480
Rh: 0.000 0.500 0.233
Cl: 0.000 0.500 0.766

## Properties
Formation energy (no corrections) = 0.240 eV per atom
Size of the total moment = 0.00 μB/atom
Crystal system = orthorhombic

12.
Computed, not measured: Zn2RhCl after structural relaxation at the PBE level of DFT.

Lattice parameters (Å, degrees): 7.193 7.193 5.283 90.00 90.00 90.00
Space group I-42d (No. 122)
Symmetry-distinct sites (fractional):
Zn: 0.238 0.250 0.125
Rh: 0.000 0.000 0.000
Cl: 0.000 0.000 0.500

## Properties
Formation energy (no corrections) = 0.060 eV per atom
Size of the total moment = 0.00 μB/atom
Crystal system = tetragonal

13.
Computed, not measured: ZnRhCl2 after structural relaxation at the PBE level of DFT.

Lattice parameters (Å, degrees): 3.749 3.222 7.296 90.00 98.27 90.00
Space group Pm (No. 6)
Symmetry-distinct sites (fractional):
Zn: 0.000 0.000 0.000
Rh: 0.542 0.500 0.119
Cl: 0.282 0.500 0.794
Cl: 0.659 0.000 0.368

## Properties
Formation energy (no corrections) = -0.323 eV per atom
Size of the total moment = 0.25 μB/atom
Crystal system = monoclinic

14.
Computed, not measured: ZnRhCl2 after structural relaxation at the PBE level of DFT.

Lattice parameters (Å, degrees): 5.071 3.511 5.980 90.00 113.55 90.00
Space group P2/m (No. 10)
Symmetry-distinct sites (fractional):
Zn: 0.000 0.000 0.000
Rh: 0.500 0.000 0.000
Cl: 0.356 0.500 0.713

## Properties
Formation energy (no corrections) = -0.314 eV per atom
Size of the total moment = 0.00 μB/atom
Crystal system = monoclinic

15.
Computed, not measured: ZnRh3Cl after structural relaxation at the PBE level of DFT.

Lattice parameters (Å, degrees): 4.669 4.669 4.669 90.00 90.00 90.00
Space group Pm-3m (No. 221)
Symmetry-distinct sites (fractional):
Zn: 0.000 0.000 0.000
Rh: 0.000 0.000 0.500
Cl: 0.500 0.500 0.500

## Properties
Formation energy (no corrections) = 1.214 eV per atom
Size of the total moment = 0.80 μB/atom
Crystal system = cubic

16.
Computed, not measured: ZnRhCl2 after structural relaxation at the PBE level of DFT.

Lattice parameters (Å, degrees): 3.327 5.752 8.709 90.00 90.00 90.00
Space group Cmm2 (No. 35)
Symmetry-distinct sites (fractional):
Zn: 0.000 0.000 0.000
Rh: 0.000 0.500 0.771
Cl: 0.000 0.000 0.586
Cl: 0.000 0.500 0.187

## Properties
Formation energy (no corrections) = -0.246 eV per atom
Size of the total moment = 0.00 μB/atom
Crystal system = orthorhombic

17.
Computed, not measured: Zn2RhCl after structural relaxation at the PBE level of DFT.

Lattice parameters (Å, degrees): 6.320 6.320 6.320 90.00 90.00 90.00
Space group F-43m (No. 216)
Symmetry-distinct sites (fractional):
Zn: 0.000 0.000 0.000
Zn: 0.250 0.250 0.250
Rh: 0.250 0.250 0.750
Cl: 0.000 0.000 0.500

## Properties
Formation energy (no corrections) = 0.188 eV per atom
Size of the total moment = 0.00 μB/atom
Crystal system = cubic

18.
Computed, not measured: Zn2RhCl after structural relaxation at the PBE level of DFT.

Lattice parameters (Å, degrees): 2.868 4.196 11.227 90.00 90.00 90.00
Space group Immm (No. 71)
Symmetry-distinct sites (fractional):
Zn: 0.000 0.000 0.202
Rh: 0.000 0.500 0.500
Cl: 0.000 0.500 0.000

## Properties
Formation energy (no corrections) = 0.072 eV per atom
Size of the total moment = 0.00 μB/atom
Crystal system = orthorhombic

19.
Computed, not measured: Zn2RhCl after structural relaxation at the PBE level of DFT.

Lattice parameters (Å, degrees): 6.381 6.381 6.381 90.00 90.00 90.00
Space group Fm-3m (No. 225)
Symmetry-distinct sites (fractional):
Zn: 0.250 0.250 0.250
Rh: 0.000 0.000 0.000
Cl: 0.000 0.000 0.500

## Properties
Formation energy (no corrections) = 0.277 eV per atom
Size of the total moment = 0.00 μB/atom
Crystal system = cubic

20.
Computed, not measured: ZnRh2Cl after structural relaxation at the PBE level of DFT.

Lattice parameters (Å, degrees): 2.958 2.961 7.440 90.00 90.00 90.00
Space group Pmm2 (No. 25)
Symmetry-distinct sites (fractional):
Zn: 0.000 0.000 0.000
Rh: 0.000 0.000 0.560
Rh: 0.500 0.500 0.785
Cl: 0.000 0.500 0.288

## Properties
Formation energy (no corrections) = -0.028 eV per atom
Size of the total moment = 0.36 μB/atom
Crystal system = orthorhombic

21.
Computed, not measured: ZnRh2Cl after structural relaxation at the PBE level of DFT.

Lattice parameters (Å, degrees): 2.9314 2.9314 23.9120 90.00 90.00 120.00
Space group R-3m (No. 166, hexagonal axes)
Symmetry-distinct sites (fractional):
Zn: 0.0000 0.0000 0.0000
Rh: 0.0000 0.0000 0.2493
Cl: 0.0000 0.0000 0.5000

## Properties
Formation energy (no corrections) = 0.094 eV per atom
Size of the total moment = 0.00 μB/atom
Crystal system = trigonal

22.
Computed, not measured: ZnRh2Cl2 after structural relaxation at the PBE level of DFT.

Lattice parameters (Å, degrees): 4.057 4.057 11.103 90.00 90.00 90.00
Space group I4/mmm (No. 139)
Symmetry-distinct sites (fractional):
Zn: 0.000 0.000 0.000
Rh: 0.000 0.000 0.391
Cl: 0.000 0.500 0.250

## Properties
Formation energy (no corrections) = 0.485 eV per atom
Size of the total moment = 0.00 μB/atom
Crystal system = tetragonal

23.
Computed, not measured: Zn2RhCl after structural relaxation at the PBE level of DFT.

Lattice parameters (Å, degrees): 3.236 3.478 7.046 90.00 90.00 90.00
Space group Pmm2 (No. 25)
Symmetry-distinct sites (fractional):
Zn: 0.000 0.000 0.000
Zn: 0.000 0.500 0.391
Rh: 0.500 0.000 0.273
Cl: 0.000 0.500 0.768

## Properties
Formation energy (no corrections) = -0.291 eV per atom
Size of the total moment = 0.00 μB/atom
Crystal system = orthorhombic

24.
Computed, not measured: Zn2RhCl after structural relaxation at the PBE level of DFT.

Lattice parameters (Å, degrees): 3.050 5.295 8.169 90.00 90.00 90.00
Space group Cmm2 (No. 35)
Symmetry-distinct sites (fractional):
Zn: 0.000 0.000 0.000
Zn: 0.000 0.500 0.260
Rh: 0.000 0.000 0.502
Cl: 0.000 0.500 0.759

## Properties
Formation energy (no corrections) = 0.089 eV per atom
Size of the total moment = 0.00 μB/atom
Crystal system = orthorhombic

25.
Computed, not measured: ZnRh2Cl after structural relaxation at the PBE level of DFT.

Lattice parameters (Å, degrees): 2.919 5.080 8.408 90.00 90.00 90.00
Space group Cmm2 (No. 35)
Symmetry-distinct sites (fractional):
Zn: 0.000 0.000 0.000
Rh: 0.000 0.000 0.503
Rh: 0.000 0.500 0.246
Cl: 0.000 0.500 0.757

## Properties
Formation energy (no corrections) = 0.185 eV per atom
Size of the total moment = 0.00 μB/atom
Crystal system = orthorhombic

26.
Computed, not measured: ZnRh2Cl after structural relaxation at the PBE level of DFT.

Lattice parameters (Å, degrees): 3.647 3.647 9.241 90.00 90.00 90.00
Space group I-4m2 (No. 119)
Symmetry-distinct sites (fractional):
Zn: 0.000 0.000 0.000
Rh: 0.000 0.000 0.500
Rh: 0.000 0.500 0.250
Cl: 0.000 0.500 0.750

## Properties
Formation energy (no corrections) = 0.378 eV per atom
Size of the total moment = 0.15 μB/atom
Crystal system = tetragonal

27.
Computed, not measured: ZnRhCl2 after structural relaxation at the PBE level of DFT.

Lattice parameters (Å, degrees): 6.241 7.006 4.686 90.00 131.61 90.00
Space group C2/m (No. 12)
Symmetry-distinct sites (fractional):
Zn: 0.000 0.000 0.000
Rh: 0.000 0.500 0.000
Cl: 0.250 0.250 0.500

## Properties
Formation energy (no corrections) = 0.025 eV per atom
Size of the total moment = 0.01 μB/atom
Crystal system = monoclinic

28.
Computed, not measured: ZnRh2Cl after structural relaxation at the PBE level of DFT.

Lattice parameters (Å, degrees): 2.867 4.277 4.968 90.00 90.00 90.00
Space group Pmmm (No. 47)
Symmetry-distinct sites (fractional):
Zn: 0.000 0.000 0.000
Rh: 0.000 0.500 0.500
Rh: 0.500 0.500 0.000
Cl: 0.500 0.000 0.500

## Properties
Formation energy (no corrections) = 0.190 eV per atom
Size of the total moment = 0.00 μB/atom
Crystal system = orthorhombic

29.
Computed, not measured: ZnRh3Cl after structural relaxation at the PBE level of DFT.

Lattice parameters (Å, degrees): 4.388 4.388 4.388 90.00 90.00 90.00
Space group Pm-3m (No. 221)
Symmetry-distinct sites (fractional):
Zn: 0.000 0.000 0.000
Rh: 0.000 0.500 0.500
Cl: 0.500 0.500 0.500

## Properties
Formation energy (no corrections) = 0.641 eV per atom
Size of the total moment = 0.00 μB/atom
Crystal system = cubic

30.
Computed, not measured: Zn2RhCl after structural relaxation at the PBE level of DFT.

Lattice parameters (Å, degrees): 3.0922 3.0922 23.5216 90.00 90.00 120.00
Space group R3m (No. 160, hexagonal axes)
Symmetry-distinct sites (fractional):
Zn: 0.0000 0.0000 0.0000
Zn: 0.0000 0.0000 0.2460
Rh: 0.0000 0.0000 0.5014
Cl: 0.0000 0.0000 0.7450

## Properties
Formation energy (no corrections) = 0.027 eV per atom
Size of the total moment = 0.07 μB/atom
Crystal system = trigonal